No. 1
Density functional theory data (GGA-PBE) for a geometry-optimized Nd6Dy3Ho2 structure.

Results
M_tot ... 0.000 μB/atom
Electronic total energy ... -4.393 eV/atom

a = 4.7698 Å, b = 4.7698 Å, c = 33.9207 Å
α = 90.00°, β = 90.00°, γ = 90.00°
With the nearest neighbours (Å) after each atom.
Space group I4/mmm (No. 139)
Asymmetric unit:
Nd (0.0000, 0.0000, 0.2040) (multiplicity 4)  5 Dy 3.39-3.42, 4 Nd 3.72
Nd (0.0000, 0.5000, 0.1199) (multiplicity 8)  6 Nd 3.37-3.72, 2 Ho 3.48, 2 Dy 3.49
Dy (0.0000, 0.0000, 0.3049) (multiplicity 4)  9 Nd 3.39-3.49
Dy (0.0000, 0.0000, 0.5000) (multiplicity 2)  8 Ho 3.70
Ho (0.0000, 0.0000, 0.0450) (multiplicity 4)  1 Ho 3.05

---

No. 2
Density functional theory data (GGA-PBE) for a geometry-optimized CoCuOs2 structure.

Results
M_tot ... 0.247 μB/atom
Electronic total energy ... -7.996 eV/atom

a = 5.2291 Å, b = 7.5132 Å, c = 2.6361 Å
α = 90.00°, β = 90.00°, γ = 90.00°
With the nearest neighbours (Å) after each atom.
Space group Cmmm (No. 65)
Asymmetric unit:
Co (0.0000, 0.0000, 0.0000) (multiplicity 2)  2 Cu 2.61, 2 Co 2.64, 8 Os 2.64
Cu (0.0000, 0.5000, 0.0000) (multiplicity 2)  2 Co 2.61, 2 Cu 2.64, 8 Os 2.64
Os (0.2500, 0.2500, 0.5000) (multiplicity 4)  4 Os 2.61-2.64, 4 Co 2.64, 4 Cu 2.64

---

No. 3
Density functional theory data (GGA-PBE) for a geometry-optimized Sr2Ga3 structure.

Results
M_tot ... 0.000 μB/atom
Electronic total energy ... -2.958 eV/atom

a = 4.8039 Å, b = 27.1402 Å, c = 4.3634 Å
α = 90.00°, β = 90.00°, γ = 90.00°
With the nearest neighbours (Å) after each atom.
Space group Cmcm (No. 63)
Asymmetric unit:
Sr (0.0000, 0.0693, 0.2500) (multiplicity 4)  12 Ga 3.48-3.57
Sr (0.0000, 0.2015, 0.7500) (multiplicity 4)  7 Ga 3.34-3.58
Ga (0.0000, 0.3335, 0.7500) (multiplicity 4)  2 Ga 2.57
Ga (0.0000, 0.3838, 0.2500) (multiplicity 4)  3 Ga 2.52-2.57
Ga (0.0000, 0.4767, 0.2500) (multiplicity 4)  3 Ga 2.52

---

No. 4
Density functional theory data (GGA-PBE) for a geometry-optimized Y3Er4Sb4 structure.

Results
M_tot ... 0.008 μB/atom
Electronic total energy ... -5.681 eV/atom

a = 4.0529 Å, b = 9.1269 Å, c = 17.0673 Å
α = 90.00°, β = 90.00°, γ = 90.00°
With the nearest neighbours (Å) after each atom.
Space group Immm (No. 71)
Asymmetric unit:
Y (0.0000, 0.0000, 0.0000) (multiplicity 2)  4 Sb 3.35
Y (0.0000, 0.5000, 0.1016) (multiplicity 4)  6 Sb 3.09-3.27
Er (0.0000, 0.3146, 0.3308) (multiplicity 8)  4 Sb 3.05-3.10, 1 Er 3.38
Sb (0.0000, 0.0000, 0.2619) (multiplicity 4)  6 Er 3.08-3.10, 2 Y 3.09
Sb (0.0000, 0.2071, 0.5000) (multiplicity 4)  2 Er 3.05, 6 Y 3.27-3.35